(one)
DFT (GGA-PBE) results for a relaxed structure of Zr2ScAl2.

Output
**Magnetization**: 0.00 μB/cell
**SG**: P4/mbm (127)

Cell lengths 7.691, 7.691, 3.521 Å; angles 90.00, 90.00, 90.00 degrees
Atoms (fractional coordinates):
Zr1 0.176 0.324 0.000
Zr2 0.324 0.824 0.000
Zr3 0.676 0.176 0.000
Zr4 0.824 0.676 0.000
Sc1 0.000 0.000 0.500
Sc2 0.500 0.500 0.500
Al1 0.121 0.621 0.500
Al2 0.379 0.121 0.500
Al3 0.621 0.879 0.500
Al4 0.879 0.379 0.500

***

(two)
DFT (GGA-PBE) results for a relaxed structure of Zr2ScAl2.

Output
**Magnetization**: 1.95 μB/cell
**SG**: P4/mbm (127)

Cell lengths 8.362, 8.362, 3.030 Å; angles 90.00, 90.00, 90.00 degrees
Atoms (fractional coordinates):
Zr1 0.124 0.376 0.000
Zr2 0.376 0.876 0.000
Zr3 0.624 0.124 0.000
Zr4 0.876 0.624 0.000
Sc1 0.000 0.000 0.000
Sc2 0.500 0.500 0.000
Al1 0.173 0.673 0.500
Al2 0.327 0.173 0.500
Al3 0.673 0.827 0.500
Al4 0.827 0.327 0.500

***

It is (one) that is most stable; the runner-up trails by 20.7 kJ/mol of atoms.

***

(one)
DFT (GGA-PBE) results for a relaxed structure of AlSn2Se4.

Output
**Magnetization**: 0.00 μB/cell
**SG**: Cmcm (63)

Cell lengths 6.939, 6.939, 14.152 Å; angles 90.00, 90.00, 148.70 degrees
Atoms (fractional coordinates):
Al1 0.129 0.871 0.750
Al2 0.871 0.129 0.250
Sn1 0.369 0.631 0.577
Sn2 0.369 0.631 0.923
Sn3 0.631 0.369 0.077
Sn4 0.631 0.369 0.423
Se1 0.000 0.000 0.000
Se2 0.000 0.000 0.500
Se3 0.288 0.712 0.130
Se4 0.288 0.712 0.370
Se5 0.496 0.504 0.750
Se6 0.504 0.496 0.250
Se7 0.712 0.288 0.630
Se8 0.712 0.288 0.870

***

(two)
DFT (GGA-PBE) results for a relaxed structure of AlSn2Se4.

Output
**Magnetization**: 0.00 μB/cell
**SG**: P4_2/mbc (135)

Cell lengths 13.794, 13.794, 6.222 Å; angles 90.00, 90.00, 90.00 degrees
Atoms (fractional coordinates):
Al1 0.000 0.500 0.250
Al2 0.000 0.500 0.750
Al3 0.500 0.000 0.250
Al4 0.500 0.000 0.750
Sn1 0.102 0.276 0.000
Sn2 0.224 0.398 0.500
Sn3 0.276 0.898 0.500
Sn4 0.398 0.776 0.000
Sn5 0.602 0.224 0.000
Sn6 0.724 0.102 0.500
Sn7 0.776 0.602 0.500
Sn8 0.898 0.724 0.000
Se1 0.010 0.365 0.500
Se2 0.135 0.490 0.000
Se3 0.243 0.743 0.250
Se4 0.243 0.743 0.750
Se5 0.257 0.243 0.250
Se6 0.257 0.243 0.750
Se7 0.365 0.990 0.000
Se8 0.490 0.865 0.500
Se9 0.510 0.135 0.500
Se10 0.635 0.010 0.000
Se11 0.743 0.757 0.250
Se12 0.743 0.757 0.750
Se13 0.757 0.257 0.250
Se14 0.757 0.257 0.750
Se15 0.865 0.510 0.000
Se16 0.990 0.635 0.500

***

It is (two) that is most stable; the runner-up trails by 6.4 kJ/mol of atoms.

***

(one)
DFT (GGA-PBE) results for a relaxed structure of Al2SnSe2.

Output
**Magnetization**: 0.00 μB/cell
**SG**: P4/mbm (127)

Cell lengths 7.667, 7.667, 3.542 Å; angles 90.00, 90.00, 90.00 degrees
Atoms (fractional coordinates):
Al1 0.140 0.360 0.000
Al2 0.360 0.860 0.000
Al3 0.640 0.140 0.000
Al4 0.860 0.640 0.000
Sn1 0.000 0.000 0.000
Sn2 0.500 0.500 0.000
Se1 0.150 0.650 0.500
Se2 0.350 0.150 0.500
Se3 0.650 0.850 0.500
Se4 0.850 0.350 0.500

***

(two)
DFT (GGA-PBE) results for a relaxed structure of Al2SnSe2.

Output
**Magnetization**: 0.00 μB/cell
**SG**: P4/mbm (127)

Cell lengths 7.893, 7.893, 3.566 Å; angles 90.00, 90.00, 90.00 degrees
Atoms (fractional coordinates):
Al1 0.152 0.348 0.000
Al2 0.348 0.848 0.000
Al3 0.652 0.152 0.000
Al4 0.848 0.652 0.000
Sn1 0.000 0.000 0.500
Sn2 0.500 0.500 0.500
Se1 0.156 0.656 0.500
Se2 0.344 0.156 0.500
Se3 0.656 0.844 0.500
Se4 0.844 0.344 0.500

***

It is (one) that is most stable; the runner-up trails by 3.1 kJ/mol of atoms.

***

(one)
DFT (GGA-PBE) results for a relaxed structure of Al2SnSe.

Output
**Magnetization**: 0.00 μB/cell
**SG**: I-42d (122)

Cell lengths 7.432, 7.432, 7.432 Å; angles 132.18, 132.18, 69.94 degrees
Atoms (fractional coordinates):
Al1 0.116 0.625 0.991
Al2 0.375 0.366 0.491
Al3 0.634 0.125 0.009
Al4 0.875 0.884 0.509
Sn1 0.250 0.750 0.500
Sn2 0.500 0.500 0.000
Se1 0.000 0.000 0.000
Se2 0.750 0.250 0.500

***

(two)
DFT (GGA-PBE) results for a relaxed structure of Al2SnSe.

Output
**Magnetization**: 0.00 μB/cell
**SG**: Fm-3m (225)

Cell lengths 4.904, 4.904, 4.904 Å; angles 60.00, 60.00, 60.00 degrees
Atoms (fractional coordinates):
Al1 0.250 0.250 0.250
Al2 0.750 0.750 0.750
Sn1 0.000 0.000 0.000
Se1 0.500 0.500 0.500

***

It is (one) that is most stable; the runner-up trails by 38.0 kJ/mol of atoms.

***

(one)
DFT (GGA-PBE) results for a relaxed structure of Al2SnSe4.

Output
**Magnetization**: 0.00 μB/cell
**SG**: Cccm (66)

Cell lengths 6.258, 6.258, 10.862 Å; angles 90.00, 90.00, 119.97 degrees
Atoms (fractional coordinates):
Al1 0.238 0.759 0.000
Al2 0.241 0.762 0.500
Al3 0.759 0.238 0.500
Al4 0.762 0.241 0.000
Sn1 0.500 0.500 0.250
Sn2 0.500 0.500 0.750
Se1 0.000 0.500 0.171
Se2 0.000 0.500 0.829
Se3 0.188 0.348 0.500
Se4 0.348 0.188 0.000
Se5 0.500 0.000 0.329
Se6 0.500 0.000 0.671
Se7 0.652 0.812 0.000
Se8 0.812 0.652 0.500

***

(two)
DFT (GGA-PBE) results for a relaxed structure of Al2SnSe4.

Output
**Magnetization**: 0.00 μB/cell
**SG**: I4/m (87)

Cell lengths 6.406, 6.406, 6.406 Å; angles 103.71, 103.71, 121.72 degrees
Atoms (fractional coordinates):
Al1 0.250 0.750 0.500
Al2 0.750 0.250 0.500
Sn1 0.000 0.000 0.000
Se1 0.174 0.342 0.516
Se2 0.342 0.826 0.169
Se3 0.658 0.174 0.831
Se4 0.826 0.658 0.484

***

It is (one) that is most stable; the runner-up trails by 6.3 kJ/mol of atoms.

***

(one)
DFT (GGA-PBE) results for a relaxed structure of AlSnSe3.

Output
**Magnetization**: 0.00 μB/cell
**SG**: Amm2 (38)

Cell lengths 3.821, 6.871, 6.871 Å; angles 77.66, 90.00, 90.00 degrees
Atoms (fractional coordinates):
Al1 0.000 0.000 0.000
Sn1 0.500 0.600 0.600
Se1 0.000 0.770 0.770
Se2 0.500 0.237 0.890
Se3 0.500 0.890 0.237

***

(two)
DFT (GGA-PBE) results for a relaxed structure of AlSnSe3.

Output
**Magnetization**: 0.00 μB/cell
**SG**: Pm-3m (221)

Cell lengths 4.936, 4.936, 4.936 Å; angles 90.00, 90.00, 90.00 degrees
Atoms (fractional coordinates):
Al1 0.000 0.000 0.000
Sn1 0.500 0.500 0.500
Se1 0.000 0.000 0.500
Se2 0.000 0.500 0.000
Se3 0.500 0.000 0.000

***

(three)
DFT (GGA-PBE) results for a relaxed structure of AlSnSe3.

Output
**Magnetization**: 0.00 μB/cell
**SG**: Pm-3m (221)

Cell lengths 5.290, 5.290, 5.290 Å; angles 90.00, 90.00, 90.00 degrees
Atoms (fractional coordinates):
Al1 0.000 0.000 0.000
Sn1 0.500 0.500 0.500
Se1 0.000 0.500 0.500
Se2 0.500 0.000 0.500
Se3 0.500 0.500 0.000

***

It is (one) that is most stable; the runner-up trails by 17.9 kJ/mol of atoms.